(1)
Material: Nd2Cu15Au2
Method: DFT, PBE
State: relaxed

Structure (POSCAR):
```
Nd2Cu15Au2
1.0
6.608 -0.037 -0.033
0.821 6.557 -0.033
0.821 0.720 6.517
Cu Nd Au
15 2 2
Cartesian
0.821 2.461 4.564 Cu
0.410 3.278 -0.016 Cu
2.547 0.494 4.564 Cu
2.123 4.745 4.228 Cu
2.547 4.590 -0.033 Cu
0.410 0.360 3.259 Cu
3.269 5.751 2.224 Cu
4.882 0.189 1.921 Cu
3.269 2.869 5.458 Cu
4.980 4.371 0.994 Cu
6.126 2.496 2.224 Cu
4.882 1.930 -0.033 Cu
4.980 1.489 4.228 Cu
3.304 -0.018 -0.016 Cu
0.821 4.816 1.921 Cu
5.396 4.736 4.220 Nd
2.853 2.504 2.231 Nd
0.883 0.775 0.691 Au
7.366 6.465 5.761 Au
```

## Properties
Raw total energy (eV/f.u.): -80.087
Space-group type: R-3m, No. 166
Crystal system: trigonal

---

(2)
Material: Nd4Cu2Au5
Method: DFT, PBE
State: relaxed

Structure (POSCAR):
```
Nd4Cu2Au5
1.0
3.950 0.000 0.000
0.000 7.493 0.262
0.000 -0.392 8.729
Au Nd Cu
5 4 2
Cartesian
0.000 0.919 1.174 Au
0.000 3.746 0.131 Au
0.000 2.872 5.787 Au
0.000 4.229 3.204 Au
0.000 6.182 7.817 Au
1.975 1.773 3.465 Nd
1.975 5.819 1.391 Nd
1.975 1.282 7.600 Nd
1.975 5.328 5.526 Nd
0.000 0.258 5.463 Cu
0.000 6.843 3.528 Cu
```

## Properties
Raw total energy (eV/f.u.): -50.444
Space-group type: P2/m, No. 10
Crystal system: monoclinic

---

(3)
Material: Nd3Cu3Au
Method: DFT, PBE
State: relaxed

Structure (POSCAR):
```
Nd3Cu3Au
1.0
4.231 0.000 -0.923
-0.190 3.754 -0.872
0.003 0.380 10.172
Nd Cu Au
3 3 1
Cartesian
2.859 0.830 2.948 Nd
0.016 0.018 0.075 Nd
1.175 3.294 5.387 Nd
0.459 2.495 2.105 Cu
2.303 2.193 0.401 Cu
3.550 1.601 6.116 Cu
1.766 1.970 8.097 Au
```

## Properties
Raw total energy (eV/f.u.): -32.143
Space-group type: Imm2, No. 44
Crystal system: orthorhombic

---

Which value of raw total energy does entry 2 give? -50.444 eV/f.u.